First-principles (PBE) data for a relaxed PmEr3Tm5 crystal, as listed in Alexandria via LeMat-Bulk.

For the formation energy, the calculation gives 1.18 eV/f.u. For the polymorph energy (0 for the lowest one), the calculation gives 0.000 eV per atom. The density is 8.84 g cm⁻³.

The structure belongs to space group Imma (No. 74); the cell edges are 7.119, 17.231 and 9.137 Å and the angles 90.00°, 90.00° and 90.00°. The inequivalent atoms are Pm at (0.000, 0.250, 0.049), Er at (0.000, 0.063, 0.748), Er at (0.250, 0.250, 0.750), Tm at (0.000, 0.250, 0.409) and Tm at (0.248, 0.086, 0.070).

=====

First-principles (PBE) data for a relaxed PmErTm4 crystal, as listed in Alexandria via LeMat-Bulk.

For the formation energy, the calculation gives 1.67 eV/f.u. For the polymorph energy (0 for the lowest one), the calculation gives 0.207 eV per atom. The density is 8.36 g cm⁻³.

The structure belongs to space group F-43m (No. 216); the cell edges are 9.225, 9.225 and 9.225 Å and the angles 90.00°, 90.00° and 90.00°. The inequivalent atoms are Pm at (0.000, 0.000, 0.000), Er at (0.250, 0.250, 0.750) and Tm at (0.125, 0.125, 0.375).